Record 1
MnZnCdI2 | PBE | optimized geometry

Values from the calculation:
Formation energy without anion corrections = 0.51 eV per atom
Calculated volume = 29.57 Å³/atom
E = -11.93 eV for the cell shown
Space group = P4/mmm (123)

a = 5.2391 Å, b = 5.3863 Å, c = 5.2391 Å
α = 90.00°, β = 90.00°, γ = 90.00°
With the nearest neighbours (Å) after each atom.
Positions (direct):
Mn  0.0000  0.0000  0.0000  4 I 2.62, 2 Cd 2.69
Zn  0.5000  0.5000  0.5000  4 Cd 3.70, 8 I 3.76
I  0.0000  0.0000  0.5000  2 Mn 2.62
I  0.5000  0.0000  0.0000  2 Mn 2.62
Cd  0.0000  0.5000  0.0000  2 Mn 2.69



Record 2
Re2TcSe | PBE | optimized geometry

Values from the calculation:
Formation energy without anion corrections = 0.48 eV per atom
Calculated volume = 15.17 Å³/atom
E = -36.81 eV for the cell shown
Space group = Pmmm (47)

a = 2.9863 Å, b = 4.4901 Å, c = 4.5256 Å
α = 90.00°, β = 90.00°, γ = 90.00°
With the nearest neighbours (Å) after each atom.
Positions (direct):
Re  0.0000  0.0000  0.0000  6 Re 2.70-2.99, 4 Se 2.71
Re  0.5000  0.5000  0.0000  6 Re 2.70-2.99, 4 Tc 2.71
Tc  0.0000  0.5000  0.5000  4 Se 2.70, 4 Re 2.71, 2 Tc 2.99
Se  0.5000  0.0000  0.5000  4 Tc 2.70, 4 Re 2.71, 2 Se 2.99



Record 3
Pr2Sm4ErMg | PBE | optimized geometry

Values from the calculation:
Calculated volume = 32.61 Å³/atom
E = -34.45 eV for the cell shown
Formation energy from the elements = 0.0174 eV per atom
Space group = P4/mmm (123)

a = 5.0444 Å, b = 5.0508 Å, c = 11.4150 Å
α = 63.77°, β = 90.00°, γ = 90.00°
With the nearest neighbours (Å) after each atom.
Positions (direct):
Sm  0.0000  0.7495  0.7511  4 Sm 3.57, 4 Pr 3.59-3.60, 2 Mg 3.59, 2 Er 3.60
Sm  0.5000  0.7502  0.2492  4 Sm 3.57, 2 Mg 3.59, 4 Pr 3.59-3.60, 2 Er 3.60
Sm  0.5000  0.2498  0.7508  4 Sm 3.57, 2 Mg 3.59, 4 Pr 3.59-3.60, 2 Er 3.60
Sm  0.0000  0.2505  0.2489  4 Sm 3.57, 4 Pr 3.59-3.60, 2 Mg 3.59, 2 Er 3.60
Pr  0.5000  0.0000  0.5000  4 Er 3.57, 8 Sm 3.60
Pr  0.0000  0.0000  0.0000  4 Mg 3.57, 8 Sm 3.59
Er  0.0000  0.5000  0.5000  4 Pr 3.57, 8 Sm 3.60
Mg  0.5000  0.5000  0.0000  4 Pr 3.57, 8 Sm 3.59



Record 4
La3Tb3Tm4 | PBE | optimized geometry

Values from the calculation:
Calculated volume = 33.68 Å³/atom
E = -45.71 eV for the cell shown
Formation energy from the elements = 0.0848 eV per atom
Space group = Amm2 (38)

a = 3.6595 Å, b = 9.5935 Å, c = 9.5935 Å
α = 90.02°, β = 90.00°, γ = 90.00°
With the nearest neighbours (Å) after each atom.
Positions (direct):
Tm  0.0000  0.6226  0.3774  3 Tm 3.27-3.66, 6 Tb 3.30-3.41
Tm  0.0000  0.1178  0.1270  4 Tb 3.32-3.39, 3 Tm 3.32-3.66, 3 La 3.47-3.71
Tm  0.0000  0.8730  0.8822  4 Tb 3.32-3.39, 3 Tm 3.32-3.66, 3 La 3.47-3.71
Tm  0.0000  0.3816  0.6184  3 Tm 3.27-3.66, 2 La 3.35, 4 Tb 3.39
Tb  0.5000  0.3277  0.3254  6 Tm 3.32-3.41, 2 Tb 3.66
Tb  0.5000  0.8246  0.1754  6 Tm 3.30-3.39, 2 Tb 3.66
Tb  0.5000  0.6746  0.6723  6 Tm 3.32-3.41, 2 Tb 3.66
La  0.0000  0.5051  0.0017  4 La 3.66-4.03, 4 Tm 3.71-3.91, 6 Tb 3.94-4.00
La  0.5000  0.1747  0.8253  6 Tm 3.35-3.47, 2 La 3.66
La  0.0000  0.9983  0.4949  4 La 3.66-4.03, 4 Tm 3.71-3.91, 6 Tb 3.94-4.00